First-principles (PBE) data for Ca2In2Sb after structural relaxation, as listed in Alexandria via LeMat-Bulk. Values from VASP.

```
&SYSTEM
  ibrav = 0, nat = 5, ntyp = 3
/
ATOMIC_SPECIES
Sb 121.76 Sb.upf
Ca 40.08 Ca.upf
In 114.82 In.upf
CELL_PARAMETERS angstrom
-4.152 -0.513 -2.824
2.380 -3.391 -2.884
-2.947 -6.711 1.041
ATOMIC_POSITIONS crystal
Sb 0.000 0.000 0.000
Ca 0.750 0.250 0.500
Ca 0.250 0.750 0.500
In 0.398 0.398 0.204
In 0.602 0.602 0.796
```

Results
DFT total energy = -13.70 eV per cell
Distance to the lowest polymorph of the same formula = 0.4130 eV per atom
Calculated volume = 33.05 A^3/atom
Formation energy from raw total energies = -0.0204 eV per atom

First-principles (PBE) data for PmDy4Er2 after structural relaxation, as listed in Alexandria via LeMat-Bulk. Values from VASP.

```
&SYSTEM
  ibrav = 0, nat = 14, ntyp = 3
/
ATOMIC_SPECIES
Pm 145.00 Pm.upf
Dy 162.50 Dy.upf
Er 167.26 Er.upf
CELL_PARAMETERS angstrom
-5.442 2.125 -1.827
-2.864 -5.424 2.222
1.471 3.682 10.886
ATOMIC_POSITIONS crystal
Pm 0.177 0.750 0.139
Pm 0.823 0.250 0.861
Dy 0.638 0.493 0.288
Dy 0.990 0.750 0.838
Dy 0.010 0.250 0.162
Dy 0.638 0.007 0.288
Dy 0.862 0.250 0.573
Dy 0.362 0.993 0.712
Dy 0.362 0.507 0.712
Dy 0.138 0.750 0.427
Er 0.610 0.750 0.005
Er 0.390 0.250 0.995
Er 0.299 0.250 0.448
Er 0.701 0.750 0.552
```

Results
DFT total energy = -62.74 eV per cell
Energy relative to the elements = 0.130 eV/atom
Distance to the lowest polymorph of the same formula = 0.0967 eV per atom
Calculated volume = 31.69 A^3/atom

First-principles (PBE) data for PmGaRh after structural relaxation, as listed in Alexandria via LeMat-Bulk. Values from VASP.

```
&SYSTEM
  ibrav = 0, nat = 12, ntyp = 3
/
ATOMIC_SPECIES
Pm 145.00 Pm.upf
Ga 69.72 Ga.upf
Rh 102.91 Rh.upf
CELL_PARAMETERS angstrom
-4.422 1.139 0.591
-1.919 -6.854 -1.153
0.602 -1.370 7.141
ATOMIC_POSITIONS crystal
Pm 0.250 0.809 0.475
Pm 0.750 0.309 0.025
Pm 0.250 0.691 0.975
Pm 0.750 0.191 0.525
Ga 0.750 0.895 0.194
Ga 0.750 0.605 0.694
Ga 0.250 0.105 0.806
Ga 0.250 0.395 0.306
Rh 0.750 0.568 0.343
Rh 0.750 0.932 0.843
Rh 0.250 0.068 0.157
Rh 0.250 0.432 0.657
```

Results
DFT total energy = -70.55 eV per cell
Energy relative to the elements = -0.836 eV/atom
Distance to the lowest polymorph of the same formula = 0.0000 eV per atom
Calculated volume = 20.18 A^3/atom

First-principles (PBE) data for AcNdSc2 after structural relaxation, as listed in Alexandria via LeMat-Bulk. Values from VASP.

```
&SYSTEM
  ibrav = 0, nat = 4, ntyp = 3
/
ATOMIC_SPECIES
Sc 44.96 Sc.upf
Ac 227.00 Ac.upf
Nd 144.24 Nd.upf
CELL_PARAMETERS angstrom
3.609 0.000 0.000
1.805 3.126 0.000
1.805 1.042 11.116
ATOMIC_POSITIONS crystal
Sc 0.748 0.748 0.755
Sc 0.252 0.252 0.245
Ac 0.500 0.500 0.500
Nd 0.000 0.000 0.000
```

Results
DFT total energy = -21.02 eV per cell
Energy relative to the elements = 0.130 eV/atom
Distance to the lowest polymorph of the same formula = 0.0460 eV per atom
Calculated volume = 31.35 A^3/atom

First-principles (PBE) data for TaHIrW2 after structural relaxation, as listed in Alexandria via LeMat-Bulk. Values from VASP.

```
&SYSTEM
  ibrav = 0, nat = 5, ntyp = 4
/
ATOMIC_SPECIES
H 1.01 H.upf
Ir 192.22 Ir.upf
W 183.84 W.upf
Ta 180.95 Ta.upf
CELL_PARAMETERS angstrom
4.016 0.000 0.000
0.000 4.016 0.000
0.000 0.000 4.139
ATOMIC_POSITIONS crystal
H 0.000 0.000 0.000
Ir 0.500 0.500 0.500
W 0.000 0.500 0.000
W 0.500 0.000 0.000
Ta 0.000 0.000 0.500
```

Results
DFT total energy = -50.10 eV per cell
Distance to the lowest polymorph of the same formula = 0.0000 eV per atom
Calculated volume = 13.35 A^3/atom

First-principles (PBE) data for Pr5Tl2In after structural relaxation, as listed in Alexandria via LeMat-Bulk. Values from VASP.

```
&SYSTEM
  ibrav = 0, nat = 16, ntyp = 3
/
ATOMIC_SPECIES
Pr 140.91 Pr.upf
Tl 204.38 Tl.upf
In 114.82 In.upf
CELL_PARAMETERS angstrom
8.899 0.000 0.000
0.000 8.899 0.000
-4.449 -4.449 6.535
ATOMIC_POSITIONS crystal
Pr 0.504 0.691 0.695
Pr 0.809 0.996 0.305
Pr 0.000 0.000 0.000
Pr 0.500 0.500 0.000
Pr 0.191 0.004 0.695
Pr 0.691 0.191 0.695
Pr 0.004 0.504 0.695
Pr 0.309 0.809 0.305
Pr 0.996 0.496 0.305
Pr 0.496 0.309 0.305
Tl 0.144 0.356 0.000
Tl 0.644 0.144 0.000
Tl 0.356 0.856 0.000
Tl 0.856 0.644 0.000
In 0.750 0.750 0.500
In 0.250 0.250 0.500
```

Results
DFT total energy = -67.79 eV per cell
Energy relative to the elements = -0.316 eV/atom
Calculated volume = 32.35 A^3/atom